No. 1
DFT (PBE) results for a geometry-optimized Te2PW structure.

The structure in POSCAR format:
```
Te2PW
1.0
-3.388 0.440 -0.480
-0.936 -3.275 3.611
-0.237 3.853 5.206
P W Te
1 1 2
Direct
0.500 0.218 0.450
0.000 0.525 0.345
0.500 0.704 0.617
0.000 0.054 0.089
```

Values from the calculation:
Volume: 108.8 Å³/cell
Raw formation energy: 115 kJ/mol of formula units
Calculated total energy: -5.864 eV per atom
Total magnetic moment: 0.0 μB/f.u.

***

No. 2
DFT (PBE) results for a geometry-optimized TeP3W structure.

The structure in POSCAR format:
```
TeP3W
1.0
4.817 0.000 0.000
0.000 4.817 0.000
0.000 0.000 4.817
P W Te
3 1 1
Direct
0.000 0.500 0.000
0.500 0.000 0.000
0.000 0.000 0.500
0.500 0.500 0.500
0.000 0.000 0.000
```

Values from the calculation:
Volume: 111.8 Å³/cell
Raw formation energy: 1043 kJ/mol of formula units
Calculated total energy: -4.302 eV per atom
Total magnetic moment: 0.0 μB/f.u.

***

No. 3
DFT (PBE) results for a geometry-optimized Te2PW structure.

The structure in POSCAR format:
```
Te2PW
1.0
-3.982 2.127 1.681
-2.812 2.540 -2.974
-4.338 -1.687 -1.240
P Te W
1 2 1
Direct
0.500 0.500 0.500
0.250 0.250 0.250
0.000 0.000 0.000
0.750 0.750 0.750
```

Values from the calculation:
Volume: 79.0 Å³/cell
Raw formation energy: 347 kJ/mol of formula units
Calculated total energy: -5.262 eV per atom
Total magnetic moment: 0.0 μB/f.u.

***

No. 4
DFT (PBE) results for a geometry-optimized TeP3W structure.

The structure in POSCAR format:
```
TeP3W
1.0
-0.724 2.928 3.663
-4.521 -1.421 0.242
1.247 -3.453 3.006
W P Te
1 3 1
Direct
0.000 0.000 0.000
0.000 0.000 0.500
0.500 0.000 0.000
0.000 0.500 0.000
0.500 0.500 0.500
```

Values from the calculation:
Volume: 106.8 Å³/cell
Raw formation energy: 270 kJ/mol of formula units
Calculated total energy: -5.905 eV per atom
Total magnetic moment: 0.0 μB/f.u.

***

> Among the records above, which one has the highest calculated total energy?

number 2